The following is a DFT calculation (GGA+U) of a relaxed structure of NaVAgO4.

abc: 5.785 5.785 6.966
angles: 90.00 90.00 90.00
Space group I-4 (No. 82)
One atom of each set of equivalent atoms:
Na: 0.000 0.000 0.000 (multiplicity 2)
V: 0.000 0.500 0.250 (multiplicity 2)
Ag: 0.000 0.000 0.500 (multiplicity 2)
O: 0.166 0.313 0.392 (multiplicity 8)

Crystal system = tetragonal
E = -5.80 eV per atom